[1]
Re3Ag | Alexandria via LeMat-Bulk | PBE | optimized geometry; excess energy over the best structure of this formula in the dataset = 414.8 meV/atom; space-group type = Pm-3n (223); crystal system = cubic; ΔH_f (0 K) = 0.691 eV per atom
1.0
-2.979 -3.277 2.301
-0.324 -2.661 -4.210
3.991 -2.662 1.375
Re Ag
6 2
Direct
0.500 0.000 0.750 Re
0.250 0.500 0.000 Re
0.000 0.250 0.500 Re
0.000 0.750 0.500 Re
0.750 0.500 0.000 Re
0.500 0.000 0.250 Re
0.500 0.500 0.500 Ag
0.000 0.000 0.000 Ag

[2]
NdEr2Ga | Alexandria via LeMat-Bulk | PBE | optimized geometry; excess energy over the best structure of this formula in the dataset = 96.4 meV/atom; space-group type = R3m (160); crystal system = trigonal; ΔH_f (0 K) = -0.194 eV per atom
1.0
-3.403 -0.232 -1.145
-2.686 -0.250 2.381
-2.797 10.074 0.621
Er Nd Ga
2 1 1
Direct
0.070 0.070 0.791 Er
0.264 0.264 0.209 Er
0.500 0.500 0.499 Nd
0.666 0.666 0.001 Ga

[3]
Sn4PtAu2 | Alexandria via LeMat-Bulk | PBE | optimized geometry; space-group type = P-1 (2); crystal system = triclinic; ΔH_f (0 K) = -0.286 eV per atom
1.0
4.246 0.005 -0.007
2.117 5.654 3.272
-0.012 0.022 6.951
Sn Pt Au
4 1 2
Direct
0.897 0.205 0.545 Sn
0.622 0.753 0.966 Sn
0.378 0.247 0.034 Sn
0.103 0.795 0.455 Sn
0.000 0.000 0.000 Pt
0.739 0.525 0.720 Au
0.261 0.475 0.280 Au

[4]
Pu2FeMo2C4 | Alexandria via LeMat-Bulk | PBE | optimized geometry; space-group type = C2/m (12); crystal system = monoclinic; ΔH_f (0 K) = -0.071 eV per atom
1.0
-0.395 1.951 2.516
0.282 -5.890 2.565
5.435 1.120 -0.014
Mo C Pu Fe
2 4 2 1
Direct
0.338 0.675 0.949 Mo
0.662 0.325 0.051 Mo
0.497 0.995 0.779 C
0.249 0.498 0.251 C
0.751 0.502 0.749 C
0.503 0.005 0.221 C
0.119 0.238 0.536 Pu
0.881 0.762 0.464 Pu
0.000 0.000 0.000 Fe

[5]
InSbTe2P | Alexandria via LeMat-Bulk | PBE | optimized geometry; E_form (uncorrected) = 0.91 eV/atom; excess energy over the best structure of this formula in the dataset = 575.7 meV/atom; space-group type = P4/mmm (123); crystal system = tetragonal
1.0
-4.344 -3.528 1.629
-1.359 -0.886 -5.543
3.635 -4.553 -0.164
P Sb Te In
1 1 2 1
Direct
0.500 0.500 0.500 P
0.000 0.000 0.000 Sb
0.500 0.000 0.000 Te
0.000 0.000 0.500 Te
0.000 0.500 0.000 In

[6]
LaHo2Sb | Alexandria via LeMat-Bulk | PBE | optimized geometry; E_form (uncorrected) = -0.34 eV/atom; excess energy over the best structure of this formula in the dataset = 167.3 meV/atom; space-group type = R3m (160); crystal system = trigonal
1.0
-3.408 -1.669 1.325
0.141 -3.161 2.479
-1.056 4.372 8.892
Ho Sb La
2 1 1
Direct
0.066 0.066 0.803 Ho
0.267 0.267 0.198 Ho
0.666 0.666 0.002 Sb
0.501 0.501 0.497 La

[7]
Pm2NiPt6 | Alexandria via LeMat-Bulk | PBE | optimized geometry; space-group type = C2/m (12); crystal system = monoclinic; ΔH_f (0 K) = -0.794 eV per atom
1.0
-2.049 3.028 -4.205
-2.486 -4.757 1.477
-4.753 2.082 3.815
Pt Pm Ni
6 2 1
Direct
0.389 0.271 0.684 Pt
0.882 0.271 0.684 Pt
0.884 0.769 0.688 Pt
0.118 0.729 0.316 Pt
0.611 0.729 0.316 Pt
0.116 0.231 0.312 Pt
0.646 0.293 0.133 Pm
0.354 0.707 0.867 Pm
0.000 0.000 0.000 Ni

[8]
CePrCoAu | Alexandria via LeMat-Bulk | PBE | optimized geometry; space-group type = F-43m (216); crystal system = cubic; ΔH_f (0 K) = -0.249 eV per atom
1.0
-3.182 3.222 -2.323
-4.796 0.467 1.641
-1.479 4.260 2.360
Pr Ce Au Co
1 1 1 1
Direct
0.250 0.250 0.250 Pr
0.750 0.750 0.750 Ce
0.000 0.000 0.000 Au
0.500 0.500 0.500 Co

[9]
Li5AgBi3 | Alexandria via LeMat-Bulk | PBE | optimized geometry; space-group type = P6_3/mcm (193); crystal system = hexagonal; ΔH_f (0 K) = -0.359 eV per atom
1.0
5.902 0.000 0.000
0.000 8.514 0.000
0.000 -4.257 7.372
Li Bi Ag
10 6 2
Direct
0.750 0.705 0.705 Li
0.000 0.667 0.333 Li
0.250 0.705 0.000 Li
0.250 0.000 0.705 Li
0.500 0.333 0.667 Li
0.000 0.333 0.667 Li
0.750 0.000 0.295 Li
0.500 0.667 0.333 Li
0.750 0.295 0.000 Li
0.250 0.295 0.295 Li
0.250 0.362 0.000 Bi
0.750 0.638 0.000 Bi
0.750 0.000 0.638 Bi
0.250 0.000 0.362 Bi
0.250 0.638 0.638 Bi
0.750 0.362 0.362 Bi
0.000 0.000 0.000 Ag
0.500 0.000 0.000 Ag

[10]
LiDy2Ge3Pd4 | Alexandria via LeMat-Bulk | PBE | optimized geometry; space-group type = P-4m2 (115); crystal system = tetragonal; ΔH_f (0 K) = -0.778 eV per atom
1.0
4.197 0.000 0.000
0.000 4.197 0.000
0.000 0.000 10.392
Ge Pd Li Dy
3 4 1 2
Direct
0.000 0.500 0.137 Ge
0.000 0.000 0.500 Ge
0.500 0.000 0.863 Ge
0.000 0.500 0.370 Pd
0.500 0.500 0.000 Pd
0.500 0.000 0.630 Pd
0.000 0.000 0.000 Pd
0.500 0.500 0.500 Li
0.000 0.500 0.754 Dy
0.500 0.000 0.246 Dy

[11]
BaCd6Pb2 | Alexandria via LeMat-Bulk | PBE | optimized geometry; space-group type = P4/mmm (123); crystal system = tetragonal; ΔH_f (0 K) = -0.136 eV per atom
1.0
-2.950 1.736 -3.351
-1.415 -4.452 -1.060
-7.952 0.766 7.397
Cd Pb Ba
6 2 1
Direct
0.500 0.000 0.318 Cd
0.500 0.500 0.500 Cd
0.000 0.500 0.682 Cd
0.000 0.500 0.318 Cd
0.000 0.000 0.500 Cd
0.500 0.000 0.682 Cd
0.500 0.500 0.144 Pb
0.500 0.500 0.856 Pb
0.000 0.000 0.000 Ba

[12]
Lu2HfZn | Alexandria via LeMat-Bulk | PBE | optimized geometry; excess energy over the best structure of this formula in the dataset = 0.0 meV/atom; space-group type = P4/mmm (123); crystal system = tetragonal; ΔH_f (0 K) = -0.135 eV per atom
1.0
-0.305 1.245 3.083
1.134 -2.871 1.272
7.855 2.925 -0.403
Lu Hf Zn
2 1 1
Direct
0.000 0.000 0.229 Lu
0.000 0.000 0.771 Lu
0.500 0.500 0.500 Hf
0.500 0.500 0.000 Zn

[13]
CaTlIr2 | Alexandria via LeMat-Bulk | PBE | optimized geometry; space-group type = C2/m (12); crystal system = monoclinic; ΔH_f (0 K) = 0.239 eV per atom
1.0
-3.854 2.487 2.067
-4.429 -0.531 2.327
1.529 0.154 5.163
Ca Ir Tl
1 2 1
Direct
0.250 0.250 0.250 Ca
0.003 0.003 0.956 Ir
0.497 0.497 0.544 Ir
0.750 0.750 0.750 Tl

[14]
Pm3Pa5O12 | Alexandria via LeMat-Bulk | PBE | optimized geometry; E_form (uncorrected) = -3.07 eV/atom; space-group type = Ia-3d (230); crystal system = cubic
1.0
11.939 0.000 0.000
-3.980 11.256 0.000
-3.980 -5.628 9.748
O Pa Pm
48 20 12
Direct
0.414 0.043 0.328 O
0.087 0.172 0.216 O
0.587 0.716 0.672 O
0.913 0.086 0.629 O
0.672 0.457 0.586 O
0.586 0.957 0.672 O
0.087 0.914 0.371 O
0.957 0.586 0.172 O
0.413 0.129 0.586 O
0.784 0.457 0.371 O
0.784 0.328 0.913 O
0.172 0.086 0.957 O
0.043 0.414 0.828 O
0.413 0.284 0.328 O
0.543 0.216 0.129 O
0.913 0.828 0.784 O
0.328 0.543 0.414 O
0.086 0.913 0.129 O
0.414 0.371 0.587 O
0.328 0.784 0.413 O
0.871 0.284 0.457 O
0.043 0.629 0.716 O
0.457 0.672 0.086 O
0.828 0.913 0.284 O
0.914 0.087 0.871 O
0.672 0.216 0.587 O
0.828 0.914 0.043 O
0.716 0.587 0.172 O
0.216 0.543 0.629 O
0.914 0.828 0.543 O
0.129 0.716 0.543 O
0.629 0.586 0.913 O
0.284 0.871 0.957 O
0.457 0.784 0.871 O
0.129 0.413 0.086 O
0.284 0.413 0.828 O
0.371 0.957 0.784 O
0.543 0.328 0.914 O
0.587 0.871 0.414 O
0.629 0.043 0.216 O
0.371 0.414 0.087 O
0.871 0.587 0.914 O
0.586 0.629 0.413 O
0.086 0.172 0.457 O
0.957 0.371 0.284 O
0.216 0.672 0.087 O
0.172 0.087 0.716 O
0.716 0.129 0.043 O
0.750 0.625 0.375 Pa
0.875 0.250 0.625 Pa
0.500 0.500 0.000 Pa
0.625 0.750 0.875 Pa
0.000 0.500 0.000 Pa
0.375 0.125 0.750 Pa
0.625 0.875 0.250 Pa
0.250 0.875 0.125 Pa
0.750 0.125 0.875 Pa
0.500 0.000 0.500 Pa
0.000 0.500 0.500 Pa
0.250 0.375 0.625 Pa
0.000 0.000 0.000 Pa
0.125 0.750 0.375 Pa
0.500 0.000 0.000 Pa
0.125 0.375 0.250 Pa
0.000 0.000 0.500 Pa
0.500 0.500 0.500 Pa
0.875 0.625 0.750 Pa
0.375 0.250 0.125 Pa
0.750 0.375 0.125 Pm
0.250 0.625 0.875 Pm
0.375 0.625 0.250 Pm
0.875 0.125 0.250 Pm
0.750 0.875 0.625 Pm
0.125 0.875 0.750 Pm
0.125 0.250 0.875 Pm
0.625 0.375 0.750 Pm
0.875 0.750 0.125 Pm
0.250 0.125 0.375 Pm
0.625 0.250 0.375 Pm
0.375 0.750 0.625 Pm

[15]
Cs3CdPb2Cl9 | Alexandria via LeMat-Bulk | PBE | optimized geometry; E_form (uncorrected) = -1.51 eV/atom; space-group type = P-3m1 (164); crystal system = trigonal
1.0
7.896 0.000 0.000
-3.948 6.838 0.000
0.000 0.000 9.691
Cl Pb Cs Cd
9 2 3 1
Direct
0.000 0.500 0.000 Cl
0.500 0.000 0.000 Cl
0.841 0.159 0.658 Cl
0.159 0.318 0.342 Cl
0.682 0.841 0.342 Cl
0.318 0.159 0.658 Cl
0.500 0.500 0.000 Cl
0.841 0.682 0.658 Cl
0.159 0.841 0.342 Cl
0.667 0.333 0.824 Pb
0.333 0.667 0.176 Pb
0.333 0.667 0.660 Cs
0.667 0.333 0.340 Cs
0.000 0.000 0.000 Cs
0.000 0.000 0.500 Cd

[16]
Ca3U3WN8 | Alexandria via LeMat-Bulk | PBE | optimized geometry; E_form (uncorrected) = -1.11 eV/atom; space-group type = R-3m (166); crystal system = trigonal
1.0
6.745 0.000 0.000
-3.372 5.842 -0.020
0.000 -3.875 5.707
N U Ca W
8 3 3 1
Direct
0.221 0.441 0.695 N
0.753 0.974 0.695 N
0.247 0.026 0.305 N
0.257 0.514 0.271 N
0.779 0.559 0.305 N
0.779 0.026 0.305 N
0.221 0.974 0.695 N
0.743 0.486 0.729 N
0.500 0.000 0.500 U
0.500 0.500 0.500 U
0.000 0.500 0.500 U
0.000 0.000 0.000 Ca
0.000 0.500 0.000 Ca
0.500 0.500 0.000 Ca
0.000 0.000 0.500 W

[17]
PuAsN2 | Alexandria via LeMat-Bulk | PBE | optimized geometry; E_form (uncorrected) = -0.33 eV/atom; space-group type = R-3m (166); crystal system = trigonal
1.0
3.501 0.000 0.000
1.750 3.032 0.000
1.750 1.011 6.171
N Pu As
2 1 1
Direct
0.115 0.115 0.654 N
0.885 0.885 0.346 N
0.500 0.500 0.500 Pu
0.000 0.000 0.000 As

[18]
Sn3SbAu3 | Alexandria via LeMat-Bulk | PBE | optimized geometry; E_form (uncorrected) = 0.30 eV/atom; excess energy over the best structure of this formula in the dataset = 365.2 meV/atom; space-group type = Pm-3n (223); crystal system = cubic
1.0
7.636 0.000 0.000
0.000 7.636 0.000
0.000 0.000 7.636
Au Sn Sb
6 6 2
Direct
0.500 0.250 0.000 Au
0.250 0.000 0.500 Au
0.750 0.000 0.500 Au
0.500 0.750 0.000 Au
0.000 0.500 0.750 Au
0.000 0.500 0.250 Au
0.500 0.000 0.250 Sn
0.500 0.000 0.750 Sn
0.250 0.500 0.000 Sn
0.000 0.750 0.500 Sn
0.750 0.500 0.000 Sn
0.000 0.250 0.500 Sn
0.500 0.500 0.500 Sb
0.000 0.000 0.000 Sb

[19]
NaSiI2O | Alexandria via LeMat-Bulk | PBE | optimized geometry; E_form (uncorrected) = 0.45 eV/atom; excess energy over the best structure of this formula in the dataset = 1251.4 meV/atom; space-group type = P4/mmm (123); crystal system = tetragonal
1.0
-3.756 -3.854 -1.925
-0.780 -1.904 5.333
-3.065 2.725 0.525
Na Si I O
1 1 2 1
Direct
0.000 0.000 0.000 Na
0.500 0.500 0.500 Si
0.500 0.000 0.000 I
0.000 0.500 0.000 I
0.000 0.000 0.500 O

[20]
TbMnTl2Se4 | Alexandria via LeMat-Bulk | PBE | optimized geometry; E_form (uncorrected) = -0.81 eV/atom; space-group type = Imma (74); crystal system = orthorhombic
1.0
8.470 -0.003 -0.095
-0.009 8.470 -0.095
-4.202 -4.205 6.081
Se Tb Tl Mn
8 2 4 2
Direct
0.241 0.259 0.457 Se
0.249 0.707 0.478 Se
0.241 0.259 0.043 Se
0.751 0.293 0.522 Se
0.759 0.741 0.543 Se
0.793 0.251 0.022 Se
0.759 0.741 0.957 Se
0.207 0.749 0.978 Se
0.000 0.500 0.500 Tb
0.000 0.500 0.000 Tb
0.000 0.000 0.500 Tl
0.500 0.500 0.000 Tl
0.500 0.000 0.000 Tl
0.500 0.000 0.500 Tl
0.500 0.500 0.500 Mn
0.000 0.000 0.000 Mn

The records above yield DFT total energy values of -9.358 -4.424 -4.373 -10.703 -2.797 -4.888 -6.519 -5.523 -3.033 -5.352 -1.784 -5.202 -5.284 -9.132 -3.344 -9.072 -9.241 -3.408 -2.510 -4.872 eV per atom, respectively.